Entry 1:
! PrYCuAu | Alexandria | PBE | relaxed; values from VASP
&SYSTEM
  ibrav = 0, nat = 4, ntyp = 4
/
ATOMIC_SPECIES
Au 196.97 Au.upf
Pr 140.91 Pr.upf
Y 88.91 Y.upf
Cu 63.55 Cu.upf
ATOMIC_POSITIONS crystal
Au 0.579 0.500 0.157
Pr 0.860 0.500 0.719
Y 0.138 0.000 0.276
Cu 0.424 0.000 0.847
CELL_PARAMETERS angstrom
-3.719 0.561 0.877
-1.237 -2.166 -3.857
1.777 -5.096 2.291
! Formation enthalpy at 0 K   -11.71 kcal/mol of atoms


Entry 2:
! KMg2SnPd | Alexandria | PBE | relaxed; values from VASP
&SYSTEM
  ibrav = 0, nat = 5, ntyp = 4
/
ATOMIC_SPECIES
Pd 106.42 Pd.upf
K 39.10 K.upf
Sn 118.71 Sn.upf
Mg 24.30 Mg.upf
ATOMIC_POSITIONS crystal
Pd 0.000 0.000 0.000
K 0.500 0.500 0.500
Sn 0.000 0.000 0.500
Mg 0.000 0.500 0.000
Mg 0.500 0.000 0.000
CELL_PARAMETERS angstrom
5.200 0.000 0.000
0.000 5.200 0.000
0.000 0.000 5.177
! Formation enthalpy at 0 K   -5.43 kcal/mol of atoms